Material: Ba2Cd6Pb3
Method: DFT, GGA-PBE
State: optimized geometry

Unit cell a=8.885 b=8.885 c=5.089 alpha=90.00 beta=90.00 gamma=120.14
Element x y z (fractional)
Ba 0.226 0.226 0.000
Ba 0.774 0.774 0.000
Cd 0.112 0.888 0.500
Cd 0.156 0.492 0.500
Cd 0.492 0.156 0.500
Cd 0.508 0.844 0.500
Cd 0.844 0.508 0.500
Cd 0.888 0.112 0.500
Pb 0.240 0.760 0.000
Pb 0.500 0.500 0.500
Pb 0.760 0.240 0.000

Values from the calculation:
E_form in eV per formula unit: -1.76